Entry 1:
An optimized crystal structure of MnAlIn2. Source: Alexandria via LeMat-Bulk, functional PBE.

Cell and atoms, written as CIF:
```
data_MnAlIn2
_cell_length_a 5.367
_cell_length_b 5.367
_cell_length_c 5.367
_cell_angle_alpha 134.42
_cell_angle_beta 134.42
_cell_angle_gamma 66.43
_symmetry_space_group_name_H-M 'P 1'
_symmetry_Int_Tables_number 1
loop_
_symmetry_equiv_pos_as_xyz
'x,y,z'
loop_
_atom_site_label
_atom_site_type_symbol
_atom_site_fract_x
_atom_site_fract_y
_atom_site_fract_z
_atom_site_occupancy
In1 In 0.000 0.000 0.000 1
Al1 Al 0.750 0.250 0.500 1
Mn1 Mn 0.500 0.500 0.000 1
In2 In 0.250 0.750 0.500 1
```

Summary:
Space-group type: No. 119
Energy of formation from the pure elements (eV/f.u.): 0.84

***

Entry 2:
An optimized crystal structure of Ba2Cd2Hg. Source: Alexandria via LeMat-Bulk, functional PBE.

Cell and atoms, written as CIF:
```
data_Ba2Cd2Hg
_cell_length_a 5.162
_cell_length_b 6.702
_cell_length_c 11.678
_cell_angle_alpha 87.08
_cell_angle_beta 77.23
_cell_angle_gamma 67.35
_symmetry_space_group_name_H-M 'P 1'
_symmetry_Int_Tables_number 1
loop_
_symmetry_equiv_pos_as_xyz
'x,y,z'
loop_
_atom_site_label
_atom_site_type_symbol
_atom_site_fract_x
_atom_site_fract_y
_atom_site_fract_z
_atom_site_occupancy
Cd1 Cd 0.929 0.708 0.434 1
Ba1 Ba 0.687 0.281 0.346 1
Hg1 Hg 0.608 0.123 0.661 1
Hg2 Hg 0.392 0.877 0.339 1
Cd2 Cd 0.375 0.136 0.113 1
Ba2 Ba 0.918 0.280 0.884 1
Ba3 Ba 0.313 0.719 0.654 1
Ba4 Ba 0.082 0.720 0.116 1
Cd3 Cd 0.071 0.292 0.566 1
Cd4 Cd 0.625 0.864 0.887 1
```

Summary:
Space-group type: No. 12
Energy of formation from the pure elements (eV/f.u.): -1.81

***

Entry 3:
An optimized crystal structure of BaLiPaN2. Source: Alexandria via LeMat-Bulk, functional PBE.

Cell and atoms, written as CIF:
```
data_BaLiPaN2
_cell_length_a 3.929
_cell_length_b 3.929
_cell_length_c 7.163
_cell_angle_alpha 90.00
_cell_angle_beta 90.00
_cell_angle_gamma 120.00
_symmetry_space_group_name_H-M 'P 1'
_symmetry_Int_Tables_number 1
loop_
_symmetry_equiv_pos_as_xyz
'x,y,z'
loop_
_atom_site_label
_atom_site_type_symbol
_atom_site_fract_x
_atom_site_fract_y
_atom_site_fract_z
_atom_site_occupancy
Ba1 Ba 0.000 0.000 0.946 1
N1 N 0.667 0.333 0.685 1
N2 N 0.333 0.667 0.327 1
Pa1 Pa 0.667 0.333 0.392 1
Li1 Li 0.333 0.667 0.650 1
```

Summary:
Formation energy from raw total energies (meV per atom): -777
Space-group type: No. 156

***

Entry 4:
An optimized crystal structure of BaSrAsBr. Source: Alexandria via LeMat-Bulk, functional PBE.

Cell and atoms, written as CIF:
```
data_BaSrAsBr
_cell_length_a 4.680
_cell_length_b 4.680
_cell_length_c 8.216
_cell_angle_alpha 73.45
_cell_angle_beta 73.45
_cell_angle_gamma 60.00
_symmetry_space_group_name_H-M 'P 1'
_symmetry_Int_Tables_number 1
loop_
_symmetry_equiv_pos_as_xyz
'x,y,z'
loop_
_atom_site_label
_atom_site_type_symbol
_atom_site_fract_x
_atom_site_fract_y
_atom_site_fract_z
_atom_site_occupancy
As1 As 0.255 0.255 0.236 1
Ba1 Ba 0.512 0.512 0.464 1
Br1 Br 0.745 0.745 0.764 1
Sr1 Sr 0.988 0.988 0.035 1
```

Summary:
Formation energy from raw total energies (meV per atom): -1588
Space-group type: No. 160

***

Entry 5:
An optimized crystal structure of Ge3RuAu. Source: Alexandria via LeMat-Bulk, functional PBE.

Cell and atoms, written as CIF:
```
data_Ge3RuAu
_cell_length_a 4.771
_cell_length_b 4.771
_cell_length_c 4.771
_cell_angle_alpha 90.00
_cell_angle_beta 90.00
_cell_angle_gamma 90.00
_symmetry_space_group_name_H-M 'P 1'
_symmetry_Int_Tables_number 1
loop_
_symmetry_equiv_pos_as_xyz
'x,y,z'
loop_
_atom_site_label
_atom_site_type_symbol
_atom_site_fract_x
_atom_site_fract_y
_atom_site_fract_z
_atom_site_occupancy
Ge1 Ge 0.000 0.000 0.500 1
Ge2 Ge 0.000 0.500 0.000 1
Ru1 Ru 0.000 0.000 0.000 1
Ge3 Ge 0.500 0.000 0.000 1
Au1 Au 0.500 0.500 0.500 1
```

Summary:
Space-group type: No. 221
Energy of formation from the pure elements (eV/f.u.): 1.28

***

Entry 6:
An optimized crystal structure of ScTi2PdC. Source: Alexandria via LeMat-Bulk, functional PBE.

Cell and atoms, written as CIF:
```
data_ScTi2PdC
_cell_length_a 4.166
_cell_length_b 4.166
_cell_length_c 4.484
_cell_angle_alpha 90.00
_cell_angle_beta 90.00
_cell_angle_gamma 90.00
_symmetry_space_group_name_H-M 'P 1'
_symmetry_Int_Tables_number 1
loop_
_symmetry_equiv_pos_as_xyz
'x,y,z'
loop_
_atom_site_label
_atom_site_type_symbol
_atom_site_fract_x
_atom_site_fract_y
_atom_site_fract_z
_atom_site_occupancy
Ti1 Ti 0.000 0.500 0.000 1
Sc1 Sc 0.000 0.000 0.500 1
C1 C 0.000 0.000 0.000 1
Pd1 Pd 0.500 0.500 0.500 1
Ti2 Ti 0.500 0.000 0.000 1
```

Summary:
Space-group type: No. 123
Energy of formation from the pure elements (eV/f.u.): -2.57

***

Entry 7:
An optimized crystal structure of ZnP3Cl. Source: Alexandria via LeMat-Bulk, functional PBE.

Cell and atoms, written as CIF:
```
data_ZnP3Cl
_cell_length_a 4.614
_cell_length_b 4.614
_cell_length_c 4.614
_cell_angle_alpha 90.00
_cell_angle_beta 90.00
_cell_angle_gamma 90.00
_symmetry_space_group_name_H-M 'P 1'
_symmetry_Int_Tables_number 1
loop_
_symmetry_equiv_pos_as_xyz
'x,y,z'
loop_
_atom_site_label
_atom_site_type_symbol
_atom_site_fract_x
_atom_site_fract_y
_atom_site_fract_z
_atom_site_occupancy
P1 P 0.500 0.000 0.000 1
P2 P 0.000 0.500 0.000 1
Zn1 Zn 0.500 0.500 0.500 1
Cl1 Cl 0.000 0.000 0.000 1
P3 P 0.000 0.000 0.500 1
```

Summary:
Formation energy from raw total energies (meV per atom): 1398
Space-group type: No. 221

***

Entry 8:
An optimized crystal structure of Zn2InAs. Source: Alexandria via LeMat-Bulk, functional PBE.

Cell and atoms, written as CIF:
```
data_Zn2InAs
_cell_length_a 3.522
_cell_length_b 3.522
_cell_length_c 6.400
_cell_angle_alpha 90.00
_cell_angle_beta 90.00
_cell_angle_gamma 90.00
_symmetry_space_group_name_H-M 'P 1'
_symmetry_Int_Tables_number 1
loop_
_symmetry_equiv_pos_as_xyz
'x,y,z'
loop_
_atom_site_label
_atom_site_type_symbol
_atom_site_fract_x
_atom_site_fract_y
_atom_site_fract_z
_atom_site_occupancy
Zn1 Zn 0.000 0.000 0.461 1
As1 As 0.500 0.500 0.250 1
Zn2 Zn 0.000 0.000 0.039 1
In1 In 0.500 0.500 0.750 1
```

Summary:
Space-group type: No. 123
Energy of formation from the pure elements (eV/f.u.): 0.69

***

Entry 9:
An optimized crystal structure of PmZr2Rh. Source: Alexandria via LeMat-Bulk, functional PBE.

Cell and atoms, written as CIF:
```
data_PmZr2Rh
_cell_length_a 3.373
_cell_length_b 3.373
_cell_length_c 7.902
_cell_angle_alpha 90.00
_cell_angle_beta 90.00
_cell_angle_gamma 90.00
_symmetry_space_group_name_H-M 'P 1'
_symmetry_Int_Tables_number 1
loop_
_symmetry_equiv_pos_as_xyz
'x,y,z'
loop_
_atom_site_label
_atom_site_type_symbol
_atom_site_fract_x
_atom_site_fract_y
_atom_site_fract_z
_atom_site_occupancy
Pm1 Pm 0.500 0.500 0.500 1
Rh1 Rh 0.500 0.500 0.000 1
Zr1 Zr 0.000 0.000 0.802 1
Zr2 Zr 0.000 0.000 0.198 1
```

Summary:
Space-group type: No. 123
Energy of formation from the pure elements (eV/f.u.): -1.09

***

Entry 10:
An optimized crystal structure of Cd3Au4. Source: Alexandria via LeMat-Bulk, functional PBE.

Cell and atoms, written as CIF:
```
data_Cd3Au4
_cell_length_a 5.771
_cell_length_b 7.626
_cell_length_c 7.626
_cell_angle_alpha 113.86
_cell_angle_beta 104.61
_cell_angle_gamma 104.61
_symmetry_space_group_name_H-M 'P 1'
_symmetry_Int_Tables_number 1
loop_
_symmetry_equiv_pos_as_xyz
'x,y,z'
loop_
_atom_site_label
_atom_site_type_symbol
_atom_site_fract_x
_atom_site_fract_y
_atom_site_fract_z
_atom_site_occupancy
Au1 Au 0.406 0.465 0.152 1
Cd1 Cd 0.116 0.599 0.875 1
Au2 Au 0.059 0.313 0.465 1
Au3 Au 0.746 0.152 0.687 1
Cd2 Cd 0.884 0.401 0.125 1
Au4 Au 0.500 0.000 0.000 1
Au5 Au 0.000 0.000 0.000 1
Cd3 Cd 0.483 0.724 0.599 1
Au6 Au 0.254 0.848 0.313 1
Au7 Au 0.594 0.535 0.848 1
Cd4 Cd 0.517 0.276 0.401 1
Cd5 Cd 0.241 0.125 0.724 1
Cd6 Cd 0.759 0.875 0.276 1
Au8 Au 0.941 0.687 0.535 1
```

Summary:
Space-group type: No. 148
Energy of formation from the pure elements (eV/f.u.): -1.07